Entry 1:
A plane-wave DFT calculation with PBE was carried out for a relaxed Tm3HgS6 crystal.

```
Tm3HgS6
1.0
6.5547 0.0000 0.0000
0.0000 8.4317 -0.0232
0.0000 -1.9042 8.2139
Hg S Tm
2 12 6
direct
0.9985 0.2045 0.7955
0.4985 0.7955 0.2045
0.6248 0.2262 0.7738
0.7273 0.5455 0.0899
0.6955 0.9723 0.0277
0.2273 0.4545 0.9101
0.1955 0.0277 0.9723
0.6819 0.6307 0.6938
0.7273 0.9101 0.4545
0.6819 0.3062 0.3693
0.2273 0.0899 0.5455
0.1248 0.7738 0.2262
0.1819 0.3693 0.3062
0.1819 0.6938 0.6307
0.4788 0.2820 0.0861
0.9788 0.7180 0.9139
0.8904 0.5965 0.4035
0.3904 0.4035 0.5965
0.4788 0.9139 0.7180
0.9788 0.0861 0.2820
```

Summary:
ρ	6.587	Mg/m³
ΔE_f (raw)	-1.46	eV/atom

Entry 2:
A plane-wave DFT calculation with PBE was carried out for a relaxed AlGa8Pd2 crystal.

```
AlGa8Pd2
1.0
-2.2516 -2.7512 -3.7316
1.2417 -4.5456 4.8591
-4.4757 -0.1595 5.0752
Ga Al Pd
8 1 2
direct
0.6129 0.1941 0.6031
0.3871 0.3969 0.8059
0.1349 0.4081 0.4081
0.6129 0.6031 0.1941
0.8651 0.5919 0.5919
0.3871 0.8059 0.3969
0.7795 0.1879 0.1879
0.2205 0.8121 0.8121
0.0000 0.0000 0.0000
0.3014 0.2130 0.2130
0.6986 0.7870 0.7870
```

Summary:
ρ	6.492	Mg/m³
ΔE_f	-0.175	eV/atom